# 1
Zr3TaIr at its PBEsol-relaxed geometry, computed with meta-GGA SCAN.

## Properties
- DOS at the Fermi energy: 6.60 states/eV per cell
- E_tot: -227.41 eV per cell
- Space group: Pm-3m (221)

abc: 4.9345 4.9345 4.9345
angles: 90.00 90.00 90.00
Positions (direct):
Zr 0.0000 0.0000 0.5000
Zr 0.0000 0.5000 0.0000
Zr 0.5000 0.0000 0.0000
Ta 0.5000 0.5000 0.5000
Ir 0.0000 0.0000 0.0000


# 2
LaReBr2 at its PBEsol-relaxed geometry, computed with meta-GGA SCAN.

## Properties
- DOS at the Fermi energy: 1.19 states/eV per cell
- Energy above the most stable polymorph in this dataset: 0.0 meV per atom
- E_tot: -153.44 eV per cell
- Space group: P4mm (99)

abc: 3.2986 3.2986 8.6778
angles: 90.00 90.00 90.00
Positions (direct):
La 0.0000 0.0000 0.0000
Re 0.5000 0.5000 0.2546
Br 0.0000 0.0000 0.4023
Br 0.5000 0.5000 0.7668


# 3
BeRhSe2 at its PBEsol-relaxed geometry, computed with meta-GGA SCAN.

## Properties
- DOS at the Fermi energy: 2.07 states/eV per cell
- E_tot: -77.26 eV per cell
- Space group: I-4m2 (119)

abc: 6.2964 6.2964 6.2964
angles: 148.55 148.55 45.07
Positions (direct):
Be 0.0000 0.0000 0.0000
Rh 0.7500 0.2500 0.5000
Se 0.2500 0.7500 0.5000
Se 0.5000 0.5000 0.0000


# 4
Y2ZrSi2 at its PBEsol-relaxed geometry, computed with meta-GGA SCAN.

## Properties
- DOS at the Fermi energy: 9.41 states/eV per cell
- E_tot: -220.33 eV per cell
- Space group: P4/mbm (127)

abc: 7.2268 7.2268 4.0812
angles: 90.00 90.00 90.00
Positions (direct):
Y 0.1762 0.3238 0.0000
Y 0.3238 0.8238 0.0000
Y 0.6762 0.1762 0.0000
Y 0.8238 0.6762 0.0000
Zr 0.0000 0.0000 0.5000
Zr 0.5000 0.5000 0.5000
Si 0.1230 0.6230 0.5000
Si 0.3770 0.1230 0.5000
Si 0.6230 0.8770 0.5000
Si 0.8770 0.3770 0.5000


# 5
CsSr3S at its PBEsol-relaxed geometry, computed with meta-GGA SCAN.

## Properties
- DOS at the Fermi energy: 5.00 states/eV per cell
- E_tot: -109.26 eV per cell
- Space group: Pm-3m (221)

abc: 5.9413 5.9413 5.9413
angles: 90.00 90.00 90.00
Positions (direct):
Cs 0.0000 0.0000 0.0000
Sr 0.0000 0.0000 0.5000
Sr 0.0000 0.5000 0.0000
Sr 0.5000 0.0000 0.0000
S 0.5000 0.5000 0.5000


# 6
Ga3Fe at its PBEsol-relaxed geometry, computed with meta-GGA SCAN.

## Properties
- E_tot: -271.74 eV per cell
- Space group: P4_2/mnm (136)

abc: 6.1727 6.1727 6.4316
angles: 90.00 90.00 90.00
Positions (direct):
Ga 0.0000 0.5000 0.0000
Ga 0.0000 0.5000 0.5000
Ga 0.1559 0.1559 0.2374
Ga 0.1559 0.1559 0.7626
Ga 0.3441 0.6559 0.2626
Ga 0.3441 0.6559 0.7374
Ga 0.5000 0.0000 0.0000
Ga 0.5000 0.0000 0.5000
Ga 0.6559 0.3441 0.2626
Ga 0.6559 0.3441 0.7374
Ga 0.8441 0.8441 0.2374
Ga 0.8441 0.8441 0.7626
Fe 0.1555 0.8445 0.0000
Fe 0.3445 0.3445 0.5000
Fe 0.6555 0.6555 0.5000
Fe 0.8445 0.1555 0.0000


# 7
FeCo2 at its PBEsol-relaxed geometry, computed with meta-GGA SCAN.

## Properties
- DOS at the Fermi energy: 3.96 states/eV per cell
- E_tot: -106.09 eV per cell
- Space group: Cmcm (63)

abc: 6.2460 6.2460 2.7712
angles: 90.00 90.00 143.40
Positions (direct):
Fe 0.0833 0.9167 0.7500
Fe 0.9167 0.0833 0.2500
Co 0.2450 0.7550 0.2500
Co 0.4153 0.5847 0.7500
Co 0.5847 0.4153 0.2500
Co 0.7550 0.2450 0.7500


# 8
NbBiH2Pd at its PBEsol-relaxed geometry, computed with meta-GGA SCAN.

## Properties
- DOS at the Fermi energy: 3.40 states/eV per cell
- E_tot: -147.05 eV per cell
- Space group: P4/mmm (123)

abc: 3.8440 3.8440 5.7056
angles: 90.00 90.00 90.00
Positions (direct):
Nb 0.0000 0.0000 0.0000
Bi 0.5000 0.5000 0.5000
H 0.0000 0.5000 0.5000
H 0.5000 0.0000 0.5000
Pd 0.5000 0.5000 0.0000


# 9
H6PbCBr3N at its PBEsol-relaxed geometry, computed with meta-GGA SCAN.

## Properties
- DOS at the Fermi energy: 0.00 states/eV per cell
- Energy above the most stable polymorph in this dataset: 0.0 meV per atom
- E_tot: -723.56 eV per cell
- Space group: Pnma (62)

abc: 7.8230 11.8719 8.6475
angles: 90.00 90.00 90.00
Positions (direct):
H 0.0045 0.1789 0.1483
H 0.0045 0.3211 0.1483
H 0.0193 0.6741 0.1309
H 0.0193 0.8259 0.1309
H 0.1677 0.2500 0.9323
H 0.1728 0.7500 0.9110
H 0.3272 0.2500 0.4110
H 0.3323 0.7500 0.4323
H 0.4807 0.1741 0.6309
H 0.4807 0.3259 0.6309
H 0.4955 0.6789 0.6483
H 0.4955 0.8211 0.6483
H 0.5045 0.1789 0.3517
H 0.5045 0.3211 0.3517
H 0.5193 0.6741 0.3691
H 0.5193 0.8259 0.3691
H 0.6677 0.2500 0.5677
H 0.6728 0.7500 0.5890
H 0.8272 0.2500 0.0890
H 0.8323 0.7500 0.0677
H 0.9807 0.1741 0.8691
H 0.9807 0.3259 0.8691
H 0.9955 0.6789 0.8517
H 0.9955 0.8211 0.8517
Pb 0.0000 0.0000 0.5000
Pb 0.0000 0.5000 0.5000
Pb 0.5000 0.0000 0.0000
Pb 0.5000 0.5000 0.0000
C 0.0271 0.2500 0.9286
C 0.4729 0.7500 0.4286
C 0.5271 0.2500 0.5714
C 0.9729 0.7500 0.0714
Br 0.0392 0.2500 0.5105
Br 0.1953 0.0274 0.2046
Br 0.1953 0.4726 0.2046
Br 0.3047 0.5274 0.7046
Br 0.3047 0.9726 0.7046
Br 0.4608 0.7500 0.0105
Br 0.5392 0.2500 0.9895
Br 0.6953 0.0274 0.2954
Br 0.6953 0.4726 0.2954
Br 0.8047 0.5274 0.7954
Br 0.8047 0.9726 0.7954
Br 0.9608 0.7500 0.4895
N 0.0392 0.7500 0.9111
N 0.4608 0.2500 0.4111
N 0.5392 0.7500 0.5889
N 0.9608 0.2500 0.0889


# 10
Sc2SiNi at its PBEsol-relaxed geometry, computed with meta-GGA SCAN.

## Properties
- DOS at the Fermi energy: 1.97 states/eV per cell
- E_tot: -57.47 eV per cell
- Space group: Amm2 (38)

abc: 3.9416 5.2579 5.2579
angles: 38.57 90.00 90.00
Positions (direct):
Sc 0.0000 0.0000 0.0000
Sc 0.5000 0.2905 0.2905
Si 0.5000 0.5752 0.5752
Ni 0.0000 0.7143 0.7143


# 11
Ba2CaZn at its PBEsol-relaxed geometry, computed with meta-GGA SCAN.

## Properties
- DOS at the Fermi energy: 4.20 states/eV per cell
- E_tot: -102.65 eV per cell
- Space group: P4/mmm (123)

abc: 4.0544 4.0544 9.8589
angles: 90.00 90.00 90.00
Positions (direct):
Ba 0.0000 0.0000 0.1911
Ba 0.0000 0.0000 0.8089
Ca 0.5000 0.5000 0.5000
Zn 0.5000 0.5000 0.0000


# 12
AlGe3Pb at its PBEsol-relaxed geometry, computed with meta-GGA SCAN.

## Properties
- DOS at the Fermi energy: 4.62 states/eV per cell
- E_tot: -134.29 eV per cell
- Space group: Pm-3m (221)

abc: 5.3470 5.3470 5.3470
angles: 90.00 90.00 90.00
Positions (direct):
Al 0.0000 0.0000 0.0000
Ge 0.0000 0.5000 0.5000
Ge 0.5000 0.0000 0.5000
Ge 0.5000 0.5000 0.0000
Pb 0.5000 0.5000 0.5000


# 13
CdTe2C at its PBEsol-relaxed geometry, computed with meta-GGA SCAN.

## Properties
- DOS at the Fermi energy: 1.39 states/eV per cell
- Energy above the most stable polymorph in this dataset: 0.0 meV per atom
- E_tot: -111.22 eV per cell
- Space group: R-3m (166)

abc: 7.4953 7.4953 7.4953
angles: 35.15 35.15 35.15
Positions (direct):
Cd 0.0000 0.0000 0.0000
Te 0.4078 0.4078 0.4078
Te 0.5922 0.5922 0.5922
C 0.5000 0.5000 0.5000


# 14
Si2TcNi at its PBEsol-relaxed geometry, computed with meta-GGA SCAN.

## Properties
- DOS at the Fermi energy: 2.01 states/eV per cell
- E_tot: -72.27 eV per cell
- Space group: C2/m (12)

abc: 4.1237 4.1237 4.6379
angles: 101.97 101.97 39.77
Positions (direct):
Si 0.2484 0.2484 0.2445
Si 0.7516 0.7516 0.7555
Tc 0.0000 0.0000 0.5000
Ni 0.5000 0.5000 0.0000


# 15
TaTlTcF2 at its PBEsol-relaxed geometry, computed with meta-GGA SCAN.

## Properties
- DOS at the Fermi energy: 2.45 states/eV per cell
- E_tot: -185.99 eV per cell
- Space group: P4/mmm (123)

abc: 4.0013 4.0013 5.1428
angles: 90.00 90.00 90.00
Positions (direct):
Ta 0.0000 0.0000 0.0000
Tl 0.5000 0.5000 0.5000
Tc 0.0000 0.0000 0.5000
F 0.0000 0.5000 0.0000
F 0.5000 0.0000 0.0000


# 16
Fe2NiRu at its PBEsol-relaxed geometry, computed with meta-GGA SCAN.

## Properties
- DOS at the Fermi energy: 4.04 states/eV per cell
- E_tot: -86.86 eV per cell
- Space group: I-4m2 (119)

abc: 4.3337 4.3337 4.3337
angles: 131.54 131.54 70.96
Positions (direct):
Fe 0.0000 0.0000 0.0000
Fe 0.7500 0.2500 0.5000
Ni 0.5000 0.5000 0.0000
Ru 0.2500 0.7500 0.5000


# 17
MnHgAu2 at its PBEsol-relaxed geometry, computed with meta-GGA SCAN.

## Properties
- DOS at the Fermi energy: 1.10 states/eV per cell
- E_tot: -225.69 eV per cell
- Space group: P4/mmm (123)

abc: 3.1557 3.1557 6.9092
angles: 90.00 90.00 90.00
Positions (direct):
Mn 0.0000 0.0000 0.0000
Hg 0.0000 0.0000 0.5000
Au 0.5000 0.5000 0.2205
Au 0.5000 0.5000 0.7795


# 18
Si2HgSe at its PBEsol-relaxed geometry, computed with meta-GGA SCAN.

## Properties
- DOS at the Fermi energy: 1.17 states/eV per cell
- E_tot: -107.09 eV per cell
- Space group: Pm (6)

abc: 3.5679 5.1391 4.5722
angles: 90.00 100.75 90.00
Positions (direct):
Si 0.0000 0.0000 0.0000
Si 0.0222 0.5000 0.0427
Hg 0.6497 0.5000 0.4746
Se 0.4064 0.0000 0.6390


# 19
BaTlSb2 at its PBEsol-relaxed geometry, computed with meta-GGA SCAN.

## Properties
- DOS at the Fermi energy: 5.36 states/eV per cell
- Energy above the most stable polymorph in this dataset: 157.4 meV per atom
- E_tot: -376.04 eV per cell
- Space group: I-42d (122)

abc: 7.0918 7.0918 7.0918
angles: 105.59 105.59 117.55
Positions (direct):
Ba 0.0000 0.0000 0.0000
Ba 0.7500 0.2500 0.5000
Tl 0.2500 0.7500 0.5000
Tl 0.5000 0.5000 0.0000
Sb 0.1737 0.6250 0.0487
Sb 0.3750 0.4237 0.5487
Sb 0.5763 0.1250 0.9513
Sb 0.8750 0.8263 0.4513


# 20
ZnAuO2F at its PBEsol-relaxed geometry, computed with meta-GGA SCAN.

## Properties
- DOS at the Fermi energy: 2.25 states/eV per cell
- E_tot: -100.51 eV per cell
- Space group: P4/mmm (123)

abc: 3.8942 3.8942 3.8354
angles: 90.00 90.00 90.00
Positions (direct):
Zn 0.0000 0.0000 0.0000
Au 0.5000 0.5000 0.5000
O 0.0000 0.5000 0.0000
O 0.5000 0.0000 0.0000
F 0.0000 0.0000 0.5000


# 21
Fe5Co at its PBEsol-relaxed geometry, computed with meta-GGA SCAN.

## Properties
- DOS at the Fermi energy: 2.98 states/eV per cell
- E_tot: -108.46 eV per cell
- Space group: P-1 (2)

abc: 2.4197 4.6293 6.0875
angles: 78.03 82.41 79.94
Positions (direct):
Fe 0.0000 0.0000 0.0000
Fe 0.1684 0.1667 0.3323
Fe 0.3346 0.3327 0.6671
Fe 0.6654 0.6673 0.3329
Fe 0.8316 0.8333 0.6677
Co 0.5000 0.5000 0.0000


# 22
MnHgCl3 at its PBEsol-relaxed geometry, computed with meta-GGA SCAN.

## Properties
- DOS at the Fermi energy: 1.87 states/eV per cell
- E_tot: -114.99 eV per cell
- Space group: Pm-3m (221)

abc: 4.7957 4.7957 4.7957
angles: 90.00 90.00 90.00
Positions (direct):
Mn 0.0000 0.0000 0.0000
Hg 0.5000 0.5000 0.5000
Cl 0.0000 0.0000 0.5000
Cl 0.0000 0.5000 0.0000
Cl 0.5000 0.0000 0.0000


# 23
KLaSe4 at its PBEsol-relaxed geometry, computed with meta-GGA SCAN.

## Properties
- DOS at the Fermi energy: 2.47 states/eV per cell
- E_tot: -135.19 eV per cell
- Space group: F-43m (216)

abc: 5.8989 5.8989 5.8989
angles: 60.00 60.00 60.00
Positions (direct):
K 0.0000 0.0000 0.0000
La 0.2500 0.2500 0.2500
Se 0.1256 0.6248 0.6248
Se 0.6248 0.1256 0.6248
Se 0.6248 0.6248 0.1256
Se 0.6248 0.6248 0.6248


# 24
LiV2O3F at its PBEsol-relaxed geometry, computed with meta-GGA SCAN.

## Properties
- DOS at the Fermi energy: 4.72 states/eV per cell
- Energy above the most stable polymorph in this dataset: 0.0 meV per atom
- E_tot: -157.06 eV per cell
- Space group: Cm (8)

abc: 5.8412 5.8412 5.9017
angles: 119.77 119.77 59.15
Positions (direct):
Li 0.0000 0.0000 0.0000
Li 0.6350 0.6350 0.8703
V 0.3678 0.3678 0.1152
V 0.5106 0.9777 0.4877
V 0.9777 0.5106 0.4877
V 0.9990 0.9990 0.4746
O 0.2454 0.2454 0.7242
O 0.2579 0.2579 0.2806
O 0.2627 0.7614 0.2654
O 0.7614 0.2627 0.2654
O 0.7632 0.7632 0.7322
O 0.7641 0.7641 0.2680
F 0.2333 0.7641 0.7400
F 0.7641 0.2333 0.7400


# 25
Li5Cu3O6 at its PBEsol-relaxed geometry, computed with meta-GGA SCAN.

## Properties
- DOS at the Fermi energy: 2.29 states/eV per cell
- E_tot: -115.95 eV per cell
- Space group: P1 (1)

abc: 4.7047 5.1849 6.4874
angles: 67.80 79.92 82.97
Positions (direct):
Li 0.0000 0.0000 0.0000
Li 0.1269 0.4624 0.6936
Li 0.4531 0.0774 0.0834
Li 0.6327 0.3300 0.6731
Li 0.7878 0.7629 0.3866
Cu 0.2101 0.0459 0.5342
Cu 0.5633 0.7265 0.8607
Cu 0.8832 0.3869 0.1970
O 0.0811 0.0376 0.2729
O 0.3399 0.0768 0.7922
O 0.4398 0.7041 0.6090
O 0.7088 0.7485 0.1061
O 0.7719 0.3667 0.9363
O 0.9713 0.3845 0.4676